Entry i
The following is a PBE calculation of a geometry-optimized AlAs2PSe structure, from Alexandria.

abc: 4.8491 4.8491 4.7303
angles: 90.00 90.00 90.00
Space group P4/mmm (No. 123)
Unique sites:
Al1 0.0000 0.0000 0.0000 x1
As1 0.0000 0.5000 0.0000 x2
P1 0.5000 0.5000 0.5000 x1
Se1 0.0000 0.0000 0.5000 x1

Entry ii
The following is a PBE calculation of a geometry-optimized AlAs2PSe structure, from Alexandria.

abc: 4.7371 4.7371 4.9625
angles: 90.00 90.00 90.00
Space group P4/mmm (No. 123)
Unique sites:
Al1 0.0000 0.0000 0.0000 x1
As1 0.0000 0.5000 0.5000 x2
P1 0.5000 0.5000 0.5000 x1
Se1 0.5000 0.5000 0.0000 x1

Result of the stability comparison: entry ii is the most stable of them.